[1]
Material: HgAsCl
Method: DFT, PBE
State: optimized geometry

Unit cell a=5.884 b=6.003 c=6.321 alpha=99.96 beta=96.67 gamma=99.67
Space group P1 (No. 1)
Unique sites:
Hg (0.000, 0.000, 0.000) x1
Hg (0.412, 0.319, 0.433) x1
As (0.410, 0.951, 0.165) x1
As (0.615, 0.142, 0.895) x1
Cl (0.356, 0.674, 0.658) x1
Cl (0.789, 0.494, 0.116) x1

Values from the calculation:
Offset from the most stable computed form = 80 meV per atom
Uncorrected energy = -15.2 eV/cell
M_tot = 0.0 μB per cell

[2]
Material: HgAs2Cl
Method: DFT, PBE
State: optimized geometry

Unit cell a=3.551 b=3.551 c=9.853 alpha=90.00 beta=90.00 gamma=90.00
Space group P4mm (No. 99)
Unique sites:
Hg (0.000, 0.000, 0.000) x1
As (0.000, 0.000, 0.384) x1
As (0.500, 0.500, 0.469) x1
Cl (0.500, 0.500, 0.694) x1

Values from the calculation:
Offset from the most stable computed form = 137 meV per atom
D(E_F) = 0.8 states/eV/f.u.
Uncorrected energy = -11.5 eV/cell
M_tot = 0.0 μB per cell